# Nb2W5

A relaxed Nb2W5 crystal (PBE, Alexandria via LeMat-Bulk).

Cell: 7.8752 4.5449 7.0211 Å, 90.00 112.07 90.00°
With the nearest neighbours (Å) after each atom.
Space group C2/m (No. 12)
Inequivalent atoms, fractional coordinates:
Nb 0.2146 0.0000 0.1436 [4 per cell]  8 W 2.78-2.83
W 0.0000 0.5000 0.0000 [2 per cell]  2 W 2.77, 6 Nb 2.78-2.79
W 0.0692 0.0000 0.7079 [4 per cell]  4 W 2.71-2.77, 4 Nb 2.80-2.83
W 0.1420 0.5000 0.4255 [4 per cell]  7 W 2.76-2.80, 1 Nb 2.80

Properties
For the formation enthalpy at 0 K, the calculation gives -0.4 eV per formula unit. The calculation puts the uncorrected energy at -12.1923 eV/atom. As for the volume: 232.9 Å³/cell. The value obtained for the density of states at the Fermi level is 0.44 states/eV/atom.

---

# NbW5

A relaxed NbW5 crystal (PBE, Alexandria via LeMat-Bulk).

Cell: 4.5339 9.6047 4.5261 Å, 90.00 90.00 90.00°
With the nearest neighbours (Å) after each atom.
Space group Cmmm (No. 65)
Inequivalent atoms, fractional coordinates:
Nb 0.0000 0.0000 0.0000 [2 per cell]  8 W 2.78
W 0.0000 0.1679 0.5000 [4 per cell]  6 W 2.76-2.78, 2 Nb 2.78
W 0.0000 0.3318 0.0000 [4 per cell]  6 W 2.76-2.78, 2 Nb 2.78
W 0.0000 0.5000 0.5000 [2 per cell]  8 W 2.78

Properties
For the formation enthalpy at 0 K, the calculation gives -0.4 eV per formula unit. The calculation puts the uncorrected energy at -12.5318 eV/atom. The value obtained for the distance to the lowest polymorph of the same formula is 0 meV per atom. As for the volume: 197.1 Å³/cell. The value obtained for the density of states at the Fermi level is 0.29 states/eV/atom.

---

# Nb3W5

A relaxed Nb3W5 crystal (PBE, Alexandria via LeMat-Bulk).

Cell: 6.4489 6.4489 6.4489 Å, 90.00 90.00 90.00°
With the nearest neighbours (Å) after each atom.
Space group Im-3m (No. 229)
Inequivalent atoms, fractional coordinates:
Nb 0.0000 0.0000 0.5000 [6 per cell]  8 W 2.79
W 0.0000 0.0000 0.0000 [2 per cell]  8 W 2.79
W 0.2500 0.2500 0.2500 [8 per cell]  6 Nb 2.79, 2 W 2.79

Properties
For the formation enthalpy at 0 K, the calculation gives -0.6 eV per formula unit. The calculation puts the uncorrected energy at -11.9460 eV/atom. The value obtained for the distance to the lowest polymorph of the same formula is 0 meV per atom. As for the volume: 268.2 Å³/cell. The value obtained for the density of states at the Fermi level is 0.36 states/eV/atom.

---

# Nb5W4

A relaxed Nb5W4 crystal (PBE, Alexandria via LeMat-Bulk).

Cell: 10.2714 9.7671 3.2396 Å, 90.00 107.94 90.00°
With the nearest neighbours (Å) after each atom.
Space group C2/m (No. 12)
Inequivalent atoms, fractional coordinates:
Nb 0.0000 0.0000 0.0000 [2 per cell]  8 W 2.83-2.84
Nb 0.0000 0.3287 0.0000 [4 per cell]  4 W 2.78-2.80, 4 Nb 2.86-2.88
Nb 0.1715 0.5000 0.6714 [4 per cell]  4 W 2.78-2.80, 4 Nb 2.86-2.88
W 0.1685 0.1685 0.6682 [8 per cell]  2 W 2.77-2.78, 6 Nb 2.78-2.84

Properties
For the formation enthalpy at 0 K, the calculation gives -0.5 eV per formula unit. The calculation puts the uncorrected energy at -11.4079 eV/atom. As for the volume: 309.2 Å³/cell. The value obtained for the density of states at the Fermi level is 0.88 states/eV/atom.